Entry 1:
# Cs2HgSbI6 (GGA-PBE, optimized geometry)
data_Cs2HgSbI6
_space_group_name_H-M_alt 'F m -3 m'
_space_group_IT_number 225
_space_group_name_Hall '-F 4 2 3'
_cell_length_a 12.375
_cell_length_b 12.375
_cell_length_c 12.375
_cell_angle_alpha 90.00
_cell_angle_beta 90.00
_cell_angle_gamma 90.00
loop_
_atom_site_label
_atom_site_fract_x
_atom_site_fract_y
_atom_site_fract_z
_atom_site_occupancy
Cs1 0.250 0.250 0.250 1
Hg1 0.000 0.000 0.000 1
Sb1 0.000 0.000 0.500 1
I1 0.000 0.000 0.255 1
# Uncorrected formation energy, eV/f.u.: -7.99
# Crystal system: cubic
# E, eV/cell: -93.69
# Energy above the lowest structure with this stoichiometry, meV/atom: 4.7

Entry 2:
# SiAgAs3 (GGA-PBE, optimized geometry)
data_SiAgAs3
_space_group_name_H-M_alt 'P m -3 m'
_space_group_IT_number 221
_space_group_name_Hall '-P 4 2 3'
_cell_length_a 4.789
_cell_length_b 4.789
_cell_length_c 4.789
_cell_angle_alpha 90.00
_cell_angle_beta 90.00
_cell_angle_gamma 90.00
loop_
_atom_site_label
_atom_site_fract_x
_atom_site_fract_y
_atom_site_fract_z
_atom_site_occupancy
Si1 0.000 0.000 0.000 1
Ag1 0.500 0.500 0.500 1
As1 0.000 0.000 0.500 1
# Uncorrected formation energy, eV/f.u.: 3.54
# Crystal system: cubic
# E, eV/cell: -18.68
# Energy above the lowest structure with this stoichiometry, meV/atom: 0.0

Entry 3:
# PmPr3Ag (GGA-PBE, optimized geometry)
data_PmPr3Ag
_space_group_name_H-M_alt 'C 1 2/m 1'
_space_group_IT_number 12
_space_group_name_Hall '-C 2y'
_cell_length_a 12.002
_cell_length_b 8.657
_cell_length_c 8.207
_cell_angle_alpha 90.00
_cell_angle_beta 124.51
_cell_angle_gamma 90.00
loop_
_atom_site_label
_atom_site_fract_x
_atom_site_fract_y
_atom_site_fract_z
_atom_site_occupancy
Pm1 0.080 0.000 0.266 1
Pr1 0.047 0.500 0.301 1
Pr2 0.181 0.203 0.700 1
Ag1 0.230 0.000 0.057 1
# Energy of formation from the pure elements, eV/atom: 0.06
# Crystal system: monoclinic
# E, eV/cell: -86.58